Record 1
! PBE KRbHBr, relaxed; values from VASP
&SYSTEM
  ibrav = 0, nat = 8, ntyp = 4
/
ATOMIC_SPECIES
K 39.10 K.upf
Rb 85.47 Rb.upf
H 1.01 H.upf
Br 79.90 Br.upf
CELL_PARAMETERS angstrom
2.800 1.616 11.496
-2.800 1.616 11.496
0.000 -3.233 11.496
ATOMIC_POSITIONS crystal
K 0.129 0.129 0.129
K 0.871 0.871 0.871
Rb 0.285 0.285 0.285
Rb 0.715 0.715 0.715
H 0.204 0.204 0.204
H 0.796 0.796 0.796
Br 0.389 0.389 0.389
Br 0.611 0.611 0.611
! total DFT energy (no corrections) = -21.03 eV for the cell shown
! polymorph energy (0 for the lowest one) = 0.00 kJ/mol of atoms
! space group = R-3m (166)

***

Record 2
! PBE TmLuZnCu, relaxed; values from VASP
&SYSTEM
  ibrav = 0, nat = 16, ntyp = 4
/
ATOMIC_SPECIES
Tm 168.93 Tm.upf
Lu 174.97 Lu.upf
Zn 65.41 Zn.upf
Cu 63.55 Cu.upf
CELL_PARAMETERS angstrom
6.913 0.000 0.000
0.000 6.913 0.000
0.000 0.000 6.913
ATOMIC_POSITIONS crystal
Tm 0.000 0.000 0.000
Tm 0.000 0.500 0.500
Tm 0.500 0.000 0.500
Tm 0.500 0.500 0.000
Lu 0.000 0.000 0.500
Lu 0.000 0.500 0.000
Lu 0.500 0.000 0.000
Lu 0.500 0.500 0.500
Zn 0.250 0.250 0.250
Zn 0.250 0.750 0.750
Zn 0.750 0.250 0.750
Zn 0.750 0.750 0.250
Cu 0.250 0.250 0.750
Cu 0.250 0.750 0.250
Cu 0.750 0.250 0.250
Cu 0.750 0.750 0.750
! total DFT energy (no corrections) = -62.48 eV for the cell shown
! E_form = -30.35 kJ/mol of atoms
! space group = F-43m (216)

***

Question: Which value of total DFT energy (no corrections) does entry 1 give?
Answer: -21.03 eV for the cell shown

***

Question: What is the total DFT energy (no corrections) in the first record?
Answer: -21.03 eV for the cell shown

***

Question: What is the total DFT energy (no corrections) in the second record?
Answer: -62.48 eV for the cell shown